# PBE HoPd7Au4, optimized geometry
# Total moment, Bohr magnetons per cell: 0.000
# Energy relative to the elements, eV/f.u.: -4.2
# Energy above the most stable polymorph in this dataset, meV/atom: 0
# Symmetry: No. 2
# Uncorrected energy, eV for the cell shown: -58.3
data_HoPd7Au4
_cell_length_a 5.8039
_cell_length_b 4.9541
_cell_length_c 8.6147
_cell_angle_alpha 73.06
_cell_angle_beta 60.51
_cell_angle_gamma 90.11
_symmetry_space_group_name_H-M 'P 1'
_symmetry_Int_Tables_number 1
_symmetry_space_group_name_Hall 'P 1'
loop_
_atom_site_label
_atom_site_fract_x
_atom_site_fract_y
_atom_site_fract_z
_atom_site_occupancy
Pd1 0.2499 0.8289 0.6687 1
Pd2 0.9997 0.3314 0.6698 1
Pd3 0.5000 0.0000 0.0000 1
Pd4 0.2529 0.4995 0.0003 1
Pd5 0.7501 0.1711 0.3313 1
Pd6 0.7471 0.5005 0.9997 1
Pd7 0.0003 0.6686 0.3302 1
Au1 0.5075 0.3383 0.6640 1
Au2 0.7522 0.8343 0.6695 1
Au3 0.2478 0.1657 0.3305 1
Au4 0.4925 0.6617 0.3360 1
Ho1 0.0000 0.0000 0.0000 1